! AlCuIr2Ru GGA-PBE relaxed; values from VASP
! ΔE_f: 131 kJ/mol of atoms
! calculated volume: 17.5 A^3/atom
! crystal system: tetragonal
&SYSTEM
  ibrav = 0, nat = 5, ntyp = 4
/
ATOMIC_SPECIES
Ru 101.07 Ru.upf
Ir 192.22 Ir.upf
Al 26.98 Al.upf
Cu 63.55 Cu.upf
CELL_PARAMETERS angstrom
4.4587 0.0000 0.0000
0.0000 4.4093 0.0000
0.0000 0.0000 4.4587
ATOMIC_POSITIONS crystal
Ru 0.0000 0.5000 0.0000
Ir 0.0000 0.0000 0.5000
Al 0.5000 0.5000 0.5000
Cu 0.0000 0.0000 0.0000
Ir 0.5000 0.0000 0.0000